Record 1
This record from Alexandria via LeMat-Bulk describes a geometry-optimized Sc2TiBiC structure. The functional is PBE-GGA.

```
data_Sc2TiBiC
_chemical_formula_sum 'Sc2 Ti1 Bi1 C1'
_space_group_name_H-M_alt 'P 4/m m m'
_space_group_IT_number 123
_space_group_name_Hall '-P 4 2'
_cell_length_a 4.6138
_cell_length_b 4.6138
_cell_length_c 4.2637
_cell_angle_alpha 90.00
_cell_angle_beta 90.00
_cell_angle_gamma 90.00
loop_
_atom_site_label
_atom_site_type_symbol
_atom_site_fract_x
_atom_site_fract_y
_atom_site_fract_z
Sc1 Sc 0.0000 0.5000 0.0000
Ti1 Ti 0.0000 0.0000 0.5000
Bi1 Bi 0.5000 0.5000 0.5000
C1 C 0.0000 0.0000 0.0000
```

Output
Size of the total moment: 1.14 μB per formula unit
Energy: -36.39 eV per cell
ΔH_f (0 K): -52.7 kJ per mole of atoms



Record 2
This record from Alexandria via LeMat-Bulk describes a geometry-optimized Zr2Br structure. The functional is PBE-GGA.

```
data_Zr2Br
_chemical_formula_sum 'Zr8 Br4'
_space_group_name_H-M_alt 'C 1 2/m 1'
_space_group_IT_number 12
_space_group_name_Hall '-C 2y'
_cell_length_a 16.9762
_cell_length_b 3.2459
_cell_length_c 6.0250
_cell_angle_alpha 90.00
_cell_angle_beta 100.27
_cell_angle_gamma 90.00
loop_
_atom_site_label
_atom_site_type_symbol
_atom_site_fract_x
_atom_site_fract_y
_atom_site_fract_z
Zr1 Zr 0.1820 0.0000 0.0929
Zr2 Zr 0.1841 0.0000 0.5896
Br1 Br 0.0683 0.5000 0.7844
```

Output
Size of the total moment: 0.00 μB per formula unit
Energy above the most stable polymorph in this dataset: 0 meV/atom
Energy: -79.14 eV per cell
Formation energy without anion corrections: -0.34 eV per atom



Record 3
This record from Alexandria via LeMat-Bulk describes a geometry-optimized Tb3TmHg4 structure. The functional is PBE-GGA.

```
data_Tb3TmHg4
_chemical_formula_sum 'Tb3 Tm1 Hg4'
_space_group_name_H-M_alt 'P 4/m m m'
_space_group_IT_number 123
_space_group_name_Hall '-P 4 2'
_cell_length_a 3.7099
_cell_length_b 3.7099
_cell_length_c 14.9817
_cell_angle_alpha 90.00
_cell_angle_beta 90.00
_cell_angle_gamma 90.00
loop_
_atom_site_label
_atom_site_type_symbol
_atom_site_fract_x
_atom_site_fract_y
_atom_site_fract_z
Tb1 Tb 0.0000 0.0000 0.0000
Tb2 Tb 0.0000 0.0000 0.2522
Tm1 Tm 0.0000 0.0000 0.5000
Hg1 Hg 0.5000 0.5000 0.1252
Hg2 Hg 0.5000 0.5000 0.3804
```

Output
Size of the total moment: 0.61 μB per formula unit
Energy above the most stable polymorph in this dataset: 0 meV/atom
Energy: -23.40 eV per cell
ΔH_f (0 K): -46.2 kJ per mole of atoms



Q: Look up the energy of the first one.
A: -36.39 eV per cell



Q: Among the records above, which one has the highest size of the total moment?
A: Sc2TiBiC



Q: Which formula does entry 3 have?
A: Tb3TmHg4